Below is a relaxed structure of Li2CaHf2, with properties calculated at the PBE level.

Computed properties:
SG: No. 139
ΔH_f (0 K) in meV per atom: 463
Fermi-level density of states in states/eV/cell: 6.4
V in Å³/cell: 119.99
E above lowest polymorph in meV/atom: 0
Spin magnetization in Bohr magnetons per cell: 0.00

Lattice parameters (Å, degrees): 7.476 7.476 7.476 147.53 147.53 46.58
Fractional positions:
Li: 0.097 0.097 0.000
Li: 0.903 0.903 0.000
Ca: 0.500 0.500 0.000
Hf: 0.250 0.750 0.500
Hf: 0.750 0.250 0.500